[1]
# CrCoAg2

A relaxed structure of CrCoAg2 (GGA-PBEsol, the Alexandria database).

It has space group Cm (No. 8), with a = 9.042 Å, b = 2.756 Å, c = 4.698 Å, α = 90.00°, β = 105.25° and γ = 90.00°. Symmetry generates all atoms from Cr at (0.000, 0.000, 0.000), Co at (0.289, 0.000, 0.795), Ag at (0.032, 0.500, 0.532) and Ag at (0.264, 0.500, 0.271).

As for the total energy: -0.4129 Ry/atom. For the energy above the most stable polymorph in this dataset, the calculation gives 0 kJ/mol of formula units.

[2]
# BaTaMn

A relaxed structure of BaTaMn (GGA-PBEsol, the Alexandria database).

It has space group P-6m2 (No. 187), with a = 3.9774 Å, b = 3.9774 Å, c = 5.5253 Å, α = 90.00°, β = 90.00° and γ = 120.00°. Symmetry generates all atoms from Ba at (0.0000, 0.0000, 0.0000), Ta at (0.6667, 0.3333, 0.5000) and Mn at (0.3333, 0.6667, 0.5000).

As for the total energy: -0.5246 Ry/atom.

[3]
# LiFe2Re

A relaxed structure of LiFe2Re (GGA-PBEsol, the Alexandria database).

It has space group Pmmm (No. 47), with a = 2.716 Å, b = 4.137 Å, c = 4.152 Å, α = 90.00°, β = 90.00° and γ = 90.00°. Symmetry generates all atoms from Li at (0.000, 0.000, 0.000), Fe at (0.000, 0.500, 0.500), Fe at (0.500, 0.000, 0.500) and Re at (0.500, 0.500, 0.000).

As for the total energy: -0.5789 Ry/atom.

[4]
# Ca2LaAs2

A relaxed structure of Ca2LaAs2 (GGA-PBEsol, the Alexandria database).

It has space group I4/mmm (No. 139), with a = 4.425 Å, b = 4.425 Å, c = 13.001 Å, α = 90.00°, β = 90.00° and γ = 90.00°. Symmetry generates all atoms from Ca at (0.000, 0.500, 0.250), La at (0.000, 0.000, 0.000) and As at (0.000, 0.000, 0.396).

As for the total energy: -0.3581 Ry/atom.

One value per record, in order, for N(E_F): 5.10; 3.49; 4.77; 2.26 states/eV/f.u..